# 1
Below is an optimized crystal structure of Ag2Ge2Se, with properties calculated at the GGA-PBE level.

Properties
space group: P4/mbm, No. 127
Fermi-level density of states: 2.85 states/eV per cell
VASP energy: -3.443 eV/atom
raw formation energy: 5.563 kcal/mol of atoms

Lattice parameters (Å, degrees): 7.2516 7.2516 3.8985 90.00 90.00 90.00
Element x y z (fractional)
Ge  0.1511  0.6511  0.5000
Ge  0.6511  0.8489  0.5000
Ge  0.8489  0.3489  0.5000
Ge  0.3489  0.1511  0.5000
Se  0.0000  0.0000  0.0000
Se  0.5000  0.5000  0.0000
Ag  0.3602  0.8602  0.0000
Ag  0.8602  0.6398  0.0000
Ag  0.6398  0.1398  0.0000
Ag  0.1398  0.3602  0.0000


# 2
Below is an optimized crystal structure of Ac2YI, with properties calculated at the GGA-PBE level.

Properties
space group: P4/mmm, No. 123
Fermi-level density of states: 4.22 states/eV per cell
VASP energy: -4.438 eV/atom
raw formation energy: -8.768 kcal/mol of atoms

Lattice parameters (Å, degrees): 3.9148 3.9148 10.2268 90.00 90.00 90.00
Element x y z (fractional)
I  0.5000  0.5000  0.0000
Y  0.5000  0.5000  0.5000
Ac  0.0000  0.0000  0.7541
Ac  0.0000  0.0000  0.2459